Record 1
Er3HgPt: optimized geometry, PBE.

Cell lengths 6.1553, 5.3982, 8.1740 Å; angles 90.00, 90.00, 90.00 degrees
Fractional coordinates of all 10 atoms:
Er: 0.0000 0.0000 0.0000
Er: 0.2500 0.0000 0.3664
Er: 0.2500 0.5000 0.7219
Er: 0.5000 0.0000 0.0000
Er: 0.7500 0.0000 0.6336
Er: 0.7500 0.5000 0.2781
Hg: 0.2500 0.5000 0.1249
Hg: 0.7500 0.5000 0.8751
Pt: 0.2500 0.0000 0.7008
Pt: 0.7500 0.0000 0.2992

Output
Crystal system ... orthorhombic
Size of the total moment ... 0.0000 μB per atom
E_form ... -301 kJ/mol of formula units
Space-group type ... Pmma, No. 51

***

Record 2
Pr7AgIr4: optimized geometry, PBE.

Cell lengths 7.6462, 7.6462, 10.2457 Å; angles 123.74, 123.74, 42.48 degrees
Fractional coordinates of all 12 atoms:
Pr: 0.0000 0.0000 0.0000
Pr: 0.1672 0.1672 0.6132
Pr: 0.2908 0.2908 0.1265
Pr: 0.4191 0.4191 0.6457
Pr: 0.5809 0.5809 0.3543
Pr: 0.7092 0.7092 0.8735
Pr: 0.8328 0.8328 0.3868
Ag: 0.5000 0.5000 0.0000
Ir: 0.0689 0.0689 0.7805
Ir: 0.2083 0.2083 0.3364
Ir: 0.7917 0.7917 0.6636
Ir: 0.9311 0.9311 0.2195

Output
Crystal system ... monoclinic
Size of the total moment ... 0.0000 μB per atom
E_form ... -384 kJ/mol of formula units
Space-group type ... C2/m, No. 12

***

Record 3
LaEuTl2: optimized geometry, PBE.

Cell lengths 5.6332, 5.6332, 5.6332 Å; angles 60.00, 60.00, 60.00 degrees
Fractional coordinates of all 4 atoms:
La: 0.0000 0.0000 0.0000
Eu: 0.5000 0.5000 0.5000
Tl: 0.2500 0.2500 0.2500
Tl: 0.7500 0.7500 0.7500

Output
Energy above the most stable polymorph in this dataset ... 10 meV per atom
Crystal system ... cubic
Size of the total moment ... 1.8547 μB per atom
E_form ... -161 kJ/mol of formula units
Space-group type ... Fm-3m, No. 225

***

Record 4
Zn2WBr: optimized geometry, PBE.

Cell lengths 2.9565, 4.1223, 5.6663 Å; angles 90.00, 90.00, 90.00 degrees
Fractional coordinates of all 4 atoms:
Zn: 0.0000 0.0000 0.0000
Zn: 0.5000 0.5000 0.2427
W: 0.5000 0.5000 0.7770
Br: 0.0000 0.0000 0.5245

Output
Energy above the most stable polymorph in this dataset ... 322 meV per atom
Crystal system ... orthorhombic
Size of the total moment ... 0.0001 μB per atom
Space-group type ... Pmm2, No. 25
Uncorrected formation energy ... 0.710 eV per atom

***

Record 5
DyHfSc6: optimized geometry, PBE.

Cell lengths 6.6201, 6.6201, 4.5219 Å; angles 90.00, 90.00, 90.00 degrees
Fractional coordinates of all 8 atoms:
Dy: 0.0000 0.0000 0.0000
Hf: 0.5000 0.5000 0.0000
Sc: 0.0000 0.5000 0.0000
Sc: 0.2620 0.2620 0.5000
Sc: 0.2620 0.7380 0.5000
Sc: 0.5000 0.0000 0.0000
Sc: 0.7380 0.2620 0.5000
Sc: 0.7380 0.7380 0.5000

Output
Crystal system ... tetragonal
Size of the total moment ... 0.0000 μB per atom
E_form ... 46 kJ/mol of formula units
Space-group type ... P4/mmm, No. 123

***

Record 6
NaSc2Pd: optimized geometry, PBE.

Cell lengths 4.8703, 4.8703, 4.8703 Å; angles 60.00, 60.00, 60.00 degrees
Fractional coordinates of all 4 atoms:
Na: 0.0000 0.0000 0.0000
Sc: 0.2500 0.2500 0.2500
Sc: 0.7500 0.7500 0.7500
Pd: 0.5000 0.5000 0.5000

Output
Energy above the most stable polymorph in this dataset ... 0 meV per atom
Crystal system ... cubic
Size of the total moment ... 0.0000 μB per atom
E_form ... -57 kJ/mol of formula units
Space-group type ... Fm-3m, No. 225

***

Record 7
Pm2Ho3ErBi6: optimized geometry, PBE.

Cell lengths 10.0556, 10.0556, 8.9963 Å; angles 102.86, 102.86, 25.86 degrees
Fractional coordinates of all 12 atoms:
Pm: 0.1660 0.1660 0.3327
Pm: 0.8340 0.8340 0.6673
Ho: 0.1680 0.1680 0.8338
Ho: 0.5000 0.5000 0.5000
Ho: 0.8320 0.8320 0.1662
Er: 0.5000 0.5000 0.0000
Bi: 0.0026 0.0026 0.7522
Bi: 0.3342 0.3342 0.9229
Bi: 0.3350 0.3350 0.4122
Bi: 0.6650 0.6650 0.5878
Bi: 0.6658 0.6658 0.0771
Bi: 0.9974 0.9974 0.2478

Output
Crystal system ... monoclinic
Size of the total moment ... 0.0000 μB per atom
E_form ... -1000 kJ/mol of formula units
Space-group type ... C2/m, No. 12

***

Record 8
Cs2AsSeBr6: optimized geometry, PBE.

Cell lengths 7.8491, 7.8491, 7.8491 Å; angles 118.81, 118.81, 92.08 degrees
Fractional coordinates of all 10 atoms:
Cs: 0.2500 0.7500 0.5000
Cs: 0.7500 0.2500 0.5000
As: 0.0000 0.0000 0.0000
Se: 0.5000 0.5000 0.0000
Br: 0.2368 0.2368 0.4737
Br: 0.2368 0.7632 0.0000
Br: 0.2481 0.2481 0.0000
Br: 0.7519 0.7519 0.0000
Br: 0.7632 0.2368 0.0000
Br: 0.7632 0.7632 0.5263

Output
Crystal system ... tetragonal
Size of the total moment ... 0.0000 μB per atom
Space-group type ... I4/mmm, No. 139
Uncorrected formation energy ... -0.825 eV per atom

***

Record 9
K2TaCu: optimized geometry, PBE.

Cell lengths 5.7633, 5.7633, 5.7633 Å; angles 60.00, 60.00, 60.00 degrees
Fractional coordinates of all 4 atoms:
K: 0.2500 0.2500 0.2500
K: 0.7500 0.7500 0.7500
Ta: 0.0000 0.0000 0.0000
Cu: 0.5000 0.5000 0.5000

Output
Energy above the most stable polymorph in this dataset ... 953 meV per atom
Crystal system ... cubic
Size of the total moment ... 1.0422 μB per atom
E_form ... 656 kJ/mol of formula units
Space-group type ... Fm-3m, No. 225

***

Record 10
AlCuRuO6: optimized geometry, PBE.

Cell lengths 4.9257, 4.9257, 8.6449 Å; angles 90.00, 90.00, 120.00 degrees
Fractional coordinates of all 18 atoms:
Al: 0.3333 0.6667 0.2500
Al: 0.6667 0.3333 0.7500
Cu: 0.0000 0.0000 0.0000
Cu: 0.0000 0.0000 0.5000
Ru: 0.3333 0.6667 0.7500
Ru: 0.6667 0.3333 0.2500
O: 0.0033 0.3535 0.1301
O: 0.0033 0.6498 0.3699
O: 0.3502 0.3535 0.3699
O: 0.3502 0.9967 0.1301
O: 0.3535 0.0033 0.6301
O: 0.3535 0.3502 0.8699
O: 0.6465 0.6498 0.1301
O: 0.6465 0.9967 0.3699
O: 0.6498 0.0033 0.8699
O: 0.6498 0.6465 0.6301
O: 0.9967 0.3502 0.6301
O: 0.9967 0.6465 0.8699

Output
Crystal system ... trigonal
Size of the total moment ... 0.0342 μB per atom
Space-group type ... P-31c, No. 163
Uncorrected formation energy ... -1.177 eV per atom

***

Record 11
NaAcZnPt: optimized geometry, PBE.

Cell lengths 5.1980, 5.1980, 5.1980 Å; angles 60.00, 60.00, 60.00 degrees
Fractional coordinates of all 4 atoms:
Na: 0.0000 0.0000 0.0000
Ac: 0.5000 0.5000 0.5000
Zn: 0.2500 0.2500 0.2500
Pt: 0.7500 0.7500 0.7500

Output
Crystal system ... cubic
Size of the total moment ... 0.0000 μB per atom
E_form ... -143 kJ/mol of formula units
Space-group type ... F-43m, No. 216

***

Record 12
AsIrCl2: optimized geometry, PBE.

Cell lengths 2.9801, 4.3645, 5.3693 Å; angles 90.00, 90.00, 90.00 degrees
Fractional coordinates of all 4 atoms:
As: 0.0000 0.0000 0.0000
Ir: 0.5000 0.0000 0.5000
Cl: 0.0000 0.5000 0.5000
Cl: 0.5000 0.5000 0.0000

Output
Energy above the most stable polymorph in this dataset ... 1078 meV per atom
Crystal system ... orthorhombic
Size of the total moment ... 0.0000 μB per atom
Space-group type ... Pmmm, No. 47
Uncorrected formation energy ... 0.608 eV per atom

***

Record 13
U2Si5Os3: optimized geometry, PBE.

Cell lengths 8.1084, 8.1084, 5.7599 Å; angles 109.66, 109.66, 92.84 degrees
Fractional coordinates of all 20 atoms:
U: 0.0953 0.3694 0.2393
U: 0.3694 0.0953 0.7393
U: 0.6306 0.9047 0.2607
U: 0.9047 0.6306 0.7607
Si: 0.0163 0.9837 0.7500
Si: 0.2371 0.4361 0.8362
Si: 0.2764 0.7236 0.7500
Si: 0.2960 0.7040 0.2500
Si: 0.4361 0.2371 0.3362
Si: 0.5639 0.7629 0.6638
Si: 0.7040 0.2960 0.7500
Si: 0.7236 0.2764 0.2500
Si: 0.7629 0.5639 0.1638
Si: 0.9837 0.0163 0.2500
Os: 0.0434 0.7535 0.3623
Os: 0.2465 0.9566 0.1377
Os: 0.4992 0.5008 0.7500
Os: 0.5008 0.4992 0.2500
Os: 0.7535 0.0434 0.8623
Os: 0.9566 0.2465 0.6377

Output
Crystal system ... monoclinic
Size of the total moment ... 0.3510 μB per atom
Space-group type ... C2/c, No. 15
Uncorrected formation energy ... -0.509 eV per atom

***

Record 14
Pr4VN5: optimized geometry, PBE.

Cell lengths 6.1240, 6.1240, 6.1240 Å; angles 100.53, 100.53, 129.39 degrees
Fractional coordinates of all 10 atoms:
Pr: 0.1087 0.6954 0.8041
Pr: 0.3046 0.1087 0.4133
Pr: 0.6954 0.8913 0.5867
Pr: 0.8913 0.3046 0.1959
V: 0.4303 0.4303 0.0000
N: 0.0975 0.0975 0.0000
N: 0.2340 0.4073 0.6497
N: 0.4073 0.7576 0.1733
N: 0.5843 0.2340 0.8267
N: 0.7576 0.5843 0.3503

Output
Crystal system ... tetragonal
Size of the total moment ... 0.0301 μB per atom
Space-group type ... I4, No. 79
Uncorrected formation energy ... -1.104 eV per atom

***

Record 15
SrInPtAu2: optimized geometry, PBE.

Cell lengths 7.1023, 7.1023, 7.1023 Å; angles 146.60, 143.42, 50.36 degrees
Fractional coordinates of all 5 atoms:
Sr: 0.0000 0.0000 0.0000
In: 0.2602 0.7602 0.5000
Pt: 0.4072 0.4072 0.0000
Au: 0.6150 0.6150 0.0000
Au: 0.7753 0.2753 0.5000

Output
Crystal system ... orthorhombic
Size of the total moment ... 0.0000 μB per atom
E_form ... -273 kJ/mol of formula units
Space-group type ... Imm2, No. 44

***

Record 16
YFe2W: optimized geometry, PBE.

Cell lengths 4.5435, 4.5435, 3.0141 Å; angles 90.00, 90.00, 90.00 degrees
Fractional coordinates of all 4 atoms:
Y: 0.0000 0.0000 0.0000
Fe: 0.0000 0.5000 0.5000
Fe: 0.5000 0.0000 0.5000
W: 0.5000 0.5000 0.0000

Output
Energy above the most stable polymorph in this dataset ... 198 meV per atom
Crystal system ... tetragonal
Size of the total moment ... 0.4454 μB per atom
E_form ... 139 kJ/mol of formula units
Space-group type ... P4/mmm, No. 123

***

Record 17
ZrZn2Fe2: optimized geometry, PBE.

Cell lengths 7.0225, 7.0225, 2.8637 Å; angles 90.00, 90.00, 90.00 degrees
Fractional coordinates of all 10 atoms:
Zr: 0.0000 0.0000 0.0000
Zr: 0.5000 0.5000 0.0000
Zn: 0.1226 0.3774 0.0000
Zn: 0.3774 0.8774 0.0000
Zn: 0.6226 0.1226 0.0000
Zn: 0.8774 0.6226 0.0000
Fe: 0.1752 0.6752 0.5000
Fe: 0.3248 0.1752 0.5000
Fe: 0.6752 0.8248 0.5000
Fe: 0.8248 0.3248 0.5000

Output
Crystal system ... tetragonal
Size of the total moment ... 0.0000 μB per atom
E_form ... 76 kJ/mol of formula units
Space-group type ... P4/mbm, No. 127

***

Record 18
BaCa2AcNi: optimized geometry, PBE.

Cell lengths 5.8577, 5.8577, 5.6833 Å; angles 90.00, 90.00, 90.00 degrees
Fractional coordinates of all 5 atoms:
Ba: 0.0000 0.0000 0.0000
Ca: 0.0000 0.5000 0.5000
Ca: 0.5000 0.0000 0.5000
Ac: 0.5000 0.5000 0.0000
Ni: 0.5000 0.5000 0.5000

Output
Crystal system ... tetragonal
Size of the total moment ... 0.0000 μB per atom
E_form ... -37 kJ/mol of formula units
Space-group type ... P4/mmm, No. 123

***

Record 19
CeZn9Au3: optimized geometry, PBE.

Cell lengths 6.9690, 6.9690, 6.9662 Å; angles 98.39, 98.39, 134.21 degrees
Fractional coordinates of all 13 atoms:
Ce: 0.0000 0.0000 0.0000
Zn: 0.0049 0.3609 0.3591
Zn: 0.2931 0.5056 0.7823
Zn: 0.3609 0.0049 0.3591
Zn: 0.4944 0.7069 0.2177
Zn: 0.5000 0.5000 0.5000
Zn: 0.5056 0.2931 0.7823
Zn: 0.6391 0.9951 0.6409
Zn: 0.7069 0.4944 0.2177
Zn: 0.9951 0.6391 0.6409
Au: 0.0000 0.0000 0.5000
Au: 0.0000 0.5000 0.0000
Au: 0.5000 0.0000 0.0000

Output
Crystal system ... monoclinic
Size of the total moment ... 0.0756 μB per atom
E_form ... -271 kJ/mol of formula units
Space-group type ... C2/m, No. 12

***

Record 20
PrNd3HoTh: optimized geometry, PBE.

Cell lengths 10.7129, 10.7129, 6.9687 Å; angles 91.09, 91.09, 31.21 degrees
Fractional coordinates of all 12 atoms:
Pr: 0.1460 0.1460 0.4569
Pr: 0.8540 0.8540 0.5431
Nd: 0.0181 0.0181 0.7473
Nd: 0.2804 0.2804 0.7578
Nd: 0.3435 0.3435 0.2503
Nd: 0.6565 0.6565 0.7497
Nd: 0.7196 0.7196 0.2422
Nd: 0.9819 0.9819 0.2527
Ho: 0.1463 0.1463 0.0176
Ho: 0.8537 0.8537 0.9824
Th: 0.4423 0.4423 0.7895
Th: 0.5577 0.5577 0.2105

Output
Crystal system ... monoclinic
Size of the total moment ... 0.0000 μB per atom
E_form ... 117 kJ/mol of formula units
Space-group type ... C2/m, No. 12